Entry from Alexandria: a relaxed NbAgH2 crystal (PBE).

As for the energy above the most stable polymorph in this dataset: 0.0000 eV/atom. Its density of states at the Fermi level is 1.10 states/eV/f.u. As for the crystal system: tetragonal. Its calculated total energy is -18.8 eV/f.u.

The space group is I-42d (No. 122) and the conventional cell measures 4.421, 4.421 and 9.067 Å, with angles of 90.00, 90.00 and 90.00 degrees. Symmetry generates all atoms from Nb at (0.000, 0.000, 0.000), Ag at (0.000, 0.000, 0.500) and H at (0.223, 0.250, 0.125).